one) # CrFeCl2, single point on PBEsol structure, DFT SCAN
# N(E_F): 3.0 states/eV per cell
# M_tot: 5.63 μB/f.u.
data_CrFeCl2
_chemical_formula_sum 'Cr2 Fe2 Cl4'
_space_group_name_H-M_alt 'C 1 2/m 1'
_space_group_IT_number 12
_cell_length_a 12.1589
_cell_length_b 3.7657
_cell_length_c 3.3011
_cell_angle_alpha 90.00
_cell_angle_beta 105.43
_cell_angle_gamma 90.00
loop_
_space_group_symop_operation_xyz
'x,y,z'
'-x,-y,-z'
'-x,y,-z'
'x,-y,z'
'x+1/2,y+1/2,z'
'-x+1/2,-y+1/2,-z'
'-x+1/2,y+1/2,-z'
'x+1/2,-y+1/2,z'
loop_
_atom_site_label
_atom_site_fract_x
_atom_site_fract_y
_atom_site_fract_z
_atom_site_occupancy
Cr1 0.0000 0.0000 0.0000 1
Fe1 0.0000 0.5000 0.5000 1
Cl1 0.1386 0.0000 0.6359 1


two) # CrFeCl2, single point on PBEsol structure, DFT SCAN
# N(E_F): 2.2 states/eV per cell
# M_tot: 7.87 μB/f.u.
data_CrFeCl2
_chemical_formula_sum 'Cr2 Fe2 Cl4'
_space_group_name_H-M_alt 'C m m m'
_space_group_IT_number 65
_space_group_name_Hall '-C 2 2'
_cell_length_a 3.0989
_cell_length_b 5.8325
_cell_length_c 7.5179
_cell_angle_alpha 90.00
_cell_angle_beta 90.00
_cell_angle_gamma 90.00
loop_
_atom_site_label
_atom_site_fract_x
_atom_site_fract_y
_atom_site_fract_z
_atom_site_occupancy
Cr1 0.0000 0.0000 0.0000 1
Fe1 0.0000 0.0000 0.5000 1
Cl1 0.0000 0.5000 0.2572 1


Verdict on stability: two) comes out at the bottom.


one) # CrHgCl2, single point on PBEsol structure, DFT SCAN
# M_tot: 4.00 μB/f.u.
data_CrHgCl2
_chemical_formula_sum 'Cr2 Hg2 Cl4'
_space_group_name_H-M_alt 'C 1 2/m 1'
_space_group_IT_number 12
_cell_length_a 11.5835
_cell_length_b 3.2933
_cell_length_c 6.1166
_cell_angle_alpha 90.00
_cell_angle_beta 121.70
_cell_angle_gamma 90.00
loop_
_space_group_symop_operation_xyz
'x,y,z'
'-x,-y,-z'
'-x,y,-z'
'x,-y,z'
'x+1/2,y+1/2,z'
'-x+1/2,-y+1/2,-z'
'-x+1/2,y+1/2,-z'
'x+1/2,-y+1/2,z'
loop_
_atom_site_label
_atom_site_fract_x
_atom_site_fract_y
_atom_site_fract_z
_atom_site_occupancy
Cr1 0.0000 0.0000 0.0000 1
Hg1 0.0000 0.5000 0.5000 1
Cl1 0.1662 0.5000 0.1654 1


two) # CrHgCl2, single point on PBEsol structure, DFT SCAN
# N(E_F): 14.7 states/eV per cell
# M_tot: 4.00 μB/f.u.
data_CrHgCl2
_chemical_formula_sum 'Cr4 Hg4 Cl8'
_space_group_name_H-M_alt 'F m -3 m'
_space_group_IT_number 225
_space_group_name_Hall '-F 4 2 3'
_cell_length_a 6.8537
_cell_length_b 6.8537
_cell_length_c 6.8537
_cell_angle_alpha 90.00
_cell_angle_beta 90.00
_cell_angle_gamma 90.00
loop_
_atom_site_label
_atom_site_fract_x
_atom_site_fract_y
_atom_site_fract_z
_atom_site_occupancy
Cr1 0.0000 0.0000 0.0000 1
Hg1 0.0000 0.0000 0.5000 1
Cl1 0.2500 0.2500 0.2500 1


three) # CrHgCl2, single point on PBEsol structure, DFT SCAN
# M_tot: 4.00 μB/f.u.
data_CrHgCl2
_chemical_formula_sum 'Cr2 Hg2 Cl4'
_space_group_name_H-M_alt 'I m m 2'
_space_group_IT_number 44
_cell_length_a 3.3399
_cell_length_b 6.2323
_cell_length_c 8.7990
_cell_angle_alpha 90.00
_cell_angle_beta 90.00
_cell_angle_gamma 90.00
loop_
_space_group_symop_operation_xyz
'x,y,z'
'-x,-y,z'
'-x,y,z'
'x,-y,z'
'x+1/2,y+1/2,z+1/2'
'-x+1/2,-y+1/2,z+1/2'
'-x+1/2,y+1/2,z+1/2'
'x+1/2,-y+1/2,z+1/2'
loop_
_atom_site_label
_atom_site_fract_x
_atom_site_fract_y
_atom_site_fract_z
_atom_site_occupancy
Cr1 0.0000 0.0000 0.0000 1
Hg1 0.0000 0.5000 0.2569 1
Cl1 0.0000 0.0000 0.5182 1
Cl2 0.0000 0.5000 0.6789 1


Verdict on stability: two) comes out at the bottom.


one) # Cr2HgCl, single point on PBEsol structure, DFT SCAN
# N(E_F): 8.0 states/eV per cell
# M_tot: 0.57 μB/f.u.
data_Cr2HgCl
_chemical_formula_sum 'Cr8 Hg4 Cl4'
_space_group_name_H-M_alt 'F -4 3 m'
_space_group_IT_number 216
_space_group_name_Hall 'F -4 2 3'
_cell_length_a 6.6263
_cell_length_b 6.6263
_cell_length_c 6.6263
_cell_angle_alpha 90.00
_cell_angle_beta 90.00
_cell_angle_gamma 90.00
loop_
_atom_site_label
_atom_site_fract_x
_atom_site_fract_y
_atom_site_fract_z
_atom_site_occupancy
Cr1 0.0000 0.0000 0.0000 1
Cr2 0.2500 0.2500 0.2500 1
Hg1 0.0000 0.0000 0.5000 1
Cl1 0.2500 0.2500 0.7500 1


two) # Cr2HgCl, single point on PBEsol structure, DFT SCAN
# N(E_F): 6.9 states/eV per cell
# M_tot: 9.58 μB/f.u.
data_Cr2HgCl
_chemical_formula_sum 'Cr8 Hg4 Cl4'
_space_group_name_H-M_alt 'F m -3 m'
_space_group_IT_number 225
_space_group_name_Hall '-F 4 2 3'
_cell_length_a 6.6862
_cell_length_b 6.6862
_cell_length_c 6.6862
_cell_angle_alpha 90.00
_cell_angle_beta 90.00
_cell_angle_gamma 90.00
loop_
_atom_site_label
_atom_site_fract_x
_atom_site_fract_y
_atom_site_fract_z
_atom_site_occupancy
Cr1 0.2500 0.2500 0.2500 1
Hg1 0.0000 0.0000 0.0000 1
Cl1 0.0000 0.0000 0.5000 1


Verdict on stability: one) comes out at the bottom.


one) # CrIn2Cl, single point on PBEsol structure, DFT SCAN
# N(E_F): 2.4 states/eV per cell
# M_tot: 4.86 μB/f.u.
data_CrIn2Cl
_chemical_formula_sum 'Cr2 In4 Cl2'
_space_group_name_H-M_alt 'I -4 m 2'
_space_group_IT_number 119
_space_group_name_Hall 'I -4 -2'
_cell_length_a 4.1698
_cell_length_b 4.1698
_cell_length_c 10.6232
_cell_angle_alpha 90.00
_cell_angle_beta 90.00
_cell_angle_gamma 90.00
loop_
_atom_site_label
_atom_site_fract_x
_atom_site_fract_y
_atom_site_fract_z
_atom_site_occupancy
Cr1 0.0000 0.0000 0.0000 1
In1 0.0000 0.0000 0.5000 1
In2 0.0000 0.5000 0.2500 1
Cl1 0.0000 0.5000 0.7500 1


two) # CrIn2Cl, single point on PBEsol structure, DFT SCAN
# N(E_F): 4.9 states/eV per cell
# M_tot: 3.41 μB/f.u.
data_CrIn2Cl
_chemical_formula_sum 'Cr3 In6 Cl3'
_space_group_name_H-M_alt 'R -3 m'
_space_group_IT_number 166
_space_group_name_Hall '-R 3 2"'
_cell_length_a 3.3374
_cell_length_b 3.3374
_cell_length_c 25.3636
_cell_angle_alpha 90.00
_cell_angle_beta 90.00
_cell_angle_gamma 120.00
loop_
_atom_site_label
_atom_site_fract_x
_atom_site_fract_y
_atom_site_fract_z
_atom_site_occupancy
Cr1 0.0000 0.0000 0.0000 1
In1 0.0000 0.0000 0.2551 1
Cl1 0.0000 0.0000 0.5000 1


Verdict on stability: one) comes out at the bottom.


one) # Cr2InCl, single point on PBEsol structure, DFT SCAN
# N(E_F): 2.8 states/eV per cell
# M_tot: 8.70 μB/f.u.
data_Cr2InCl
_chemical_formula_sum 'Cr4 In2 Cl2'
_space_group_name_H-M_alt 'C m m m'
_space_group_IT_number 65
_space_group_name_Hall '-C 2 2'
_cell_length_a 3.3925
_cell_length_b 5.3933
_cell_length_c 8.2331
_cell_angle_alpha 90.00
_cell_angle_beta 90.00
_cell_angle_gamma 90.00
loop_
_atom_site_label
_atom_site_fract_x
_atom_site_fract_y
_atom_site_fract_z
_atom_site_occupancy
Cr1 0.0000 0.0000 0.2363 1
In1 0.0000 0.5000 0.5000 1
Cl1 0.0000 0.5000 0.0000 1


two) # Cr2InCl, single point on PBEsol structure, DFT SCAN
# N(E_F): 4.7 states/eV per cell
# M_tot: 8.60 μB/f.u.
data_Cr2InCl
_chemical_formula_sum 'Cr4 In2 Cl2'
_space_group_name_H-M_alt 'C 1 2/m 1'
_space_group_IT_number 12
_cell_length_a 6.5244
_cell_length_b 7.3517
_cell_length_c 3.0690
_cell_angle_alpha 90.00
_cell_angle_beta 90.18
_cell_angle_gamma 90.00
loop_
_space_group_symop_operation_xyz
'x,y,z'
'-x,-y,-z'
'-x,y,-z'
'x,-y,z'
'x+1/2,y+1/2,z'
'-x+1/2,-y+1/2,-z'
'-x+1/2,y+1/2,-z'
'x+1/2,-y+1/2,z'
loop_
_atom_site_label
_atom_site_fract_x
_atom_site_fract_y
_atom_site_fract_z
_atom_site_occupancy
Cr1 0.2500 0.2500 0.0000 1
In1 0.0000 0.0000 0.5000 1
Cl1 0.0000 0.5000 0.5000 1


Verdict on stability: two) comes out at the bottom.


one) # CrIr2Cl, single point on PBEsol structure, DFT SCAN
# N(E_F): 14.8 states/eV per cell
# M_tot: 1.37 μB/f.u.
data_CrIr2Cl
_chemical_formula_sum 'Cr4 Ir8 Cl4'
_space_group_name_H-M_alt 'F m -3 m'
_space_group_IT_number 225
_space_group_name_Hall '-F 4 2 3'
_cell_length_a 6.1026
_cell_length_b 6.1026
_cell_length_c 6.1026
_cell_angle_alpha 90.00
_cell_angle_beta 90.00
_cell_angle_gamma 90.00
loop_
_atom_site_label
_atom_site_fract_x
_atom_site_fract_y
_atom_site_fract_z
_atom_site_occupancy
Cr1 0.0000 0.0000 0.0000 1
Ir1 0.2500 0.2500 0.2500 1
Cl1 0.0000 0.0000 0.5000 1


two) # CrIr2Cl, single point on PBEsol structure, DFT SCAN
# N(E_F): 3.3 states/eV per cell
# M_tot: 3.56 μB/f.u.
data_CrIr2Cl
_chemical_formula_sum 'Cr1 Ir2 Cl1'
_space_group_name_H-M_alt 'P m m m'
_space_group_IT_number 47
_cell_length_a 2.7444
_cell_length_b 4.5436
_cell_length_c 4.6062
_cell_angle_alpha 90.00
_cell_angle_beta 90.00
_cell_angle_gamma 90.00
loop_
_space_group_symop_operation_xyz
'x,y,z'
'-x,-y,-z'
'-x,-y,z'
'x,y,-z'
'x,-y,-z'
'-x,y,z'
'-x,y,-z'
'x,-y,z'
loop_
_atom_site_label
_atom_site_fract_x
_atom_site_fract_y
_atom_site_fract_z
_atom_site_occupancy
Cr1 0.0000 0.0000 0.0000 1
Ir1 0.0000 0.5000 0.5000 1
Ir2 0.5000 0.5000 0.0000 1
Cl1 0.5000 0.0000 0.5000 1


Verdict on stability: one) comes out at the bottom.


one) # K2CrCl, single point on PBEsol structure, DFT SCAN
# N(E_F): 1.7 states/eV per cell
# M_tot: 5.27 μB/f.u.
data_K2CrCl
_chemical_formula_sum 'K4 Cr2 Cl2'
_space_group_name_H-M_alt 'I -4 m 2'
_space_group_IT_number 119
_space_group_name_Hall 'I -4 -2'
_cell_length_a 4.6251
_cell_length_b 4.6251
_cell_length_c 13.1427
_cell_angle_alpha 90.00
_cell_angle_beta 90.00
_cell_angle_gamma 90.00
loop_
_atom_site_label
_atom_site_fract_x
_atom_site_fract_y
_atom_site_fract_z
_atom_site_occupancy
K1 0.0000 0.0000 0.0000 1
K2 0.0000 0.5000 0.2500 1
Cr1 0.0000 0.5000 0.7500 1
Cl1 0.0000 0.0000 0.5000 1


two) # K2CrCl, single point on PBEsol structure, DFT SCAN
# N(E_F): 1.3 states/eV per cell
# M_tot: 5.50 μB/f.u.
data_K2CrCl
_chemical_formula_sum 'K2 Cr1 Cl1'
_space_group_name_H-M_alt 'P 4 m m'
_space_group_IT_number 99
_cell_length_a 3.9247
_cell_length_b 3.9247
_cell_length_c 9.9897
_cell_angle_alpha 90.00
_cell_angle_beta 90.00
_cell_angle_gamma 90.00
loop_
_space_group_symop_operation_xyz
'x,y,z'
'-y,x,z'
'-x,-y,z'
'y,-x,z'
'-x,y,z'
'y,x,z'
'x,-y,z'
'-y,-x,z'
loop_
_atom_site_label
_atom_site_fract_x
_atom_site_fract_y
_atom_site_fract_z
_atom_site_occupancy
K1 0.0000 0.0000 0.0000 1
K2 0.5000 0.5000 0.4165 1
Cr1 0.5000 0.5000 0.7715 1
Cl1 0.0000 0.0000 0.2981 1


Verdict on stability: one) comes out at the bottom.